# 1
Here is crystalline Ca4Cd3Cu at its relaxed geometry from Alexandria via LeMat-Bulk. Energies are from PBE.

Lattice parameters (Å, degrees): 3.7465 3.7465 15.3338 90.00 90.00 90.00
Fractional positions:
1 Ca 0.0000 0.0000 0.8875
2 Ca 0.0000 0.0000 0.1125
3 Ca 0.0000 0.0000 0.3712
4 Ca 0.0000 0.0000 0.6288
5 Cu 0.5000 0.5000 0.0000
6 Cd 0.5000 0.5000 0.2415
7 Cd 0.5000 0.5000 0.5000
8 Cd 0.5000 0.5000 0.7585

## Properties
Formation enthalpy at 0 K   -2.152 eV/f.u.
E_tot   -16.999 eV per cell


# 2
Here is crystalline CaInTe2 at its relaxed geometry from Alexandria via LeMat-Bulk. Energies are from PBE.

Lattice parameters (Å, degrees): 4.4538 4.4538 6.5050 90.00 90.00 90.00
Fractional positions:
1 Ca 0.0000 0.0000 0.3799
2 Te 0.0000 0.0000 0.8807
3 Te 0.5000 0.5000 0.3785
4 In 0.5000 0.5000 0.8609

## Properties
E_form (uncorrected)   -90.5 kJ per mole of atoms
E_tot   -14.775 eV per cell


# 3
Here is crystalline KYMo2 at its relaxed geometry from Alexandria via LeMat-Bulk. Energies are from PBE.

Lattice parameters (Å, degrees): 4.3902 4.3902 8.9563 86.65 86.65 42.93
Fractional positions:
1 K 0.2597 0.2597 0.2016
2 Mo 0.0209 0.0209 0.9010
3 Mo 0.7396 0.7396 0.7942
4 Y 0.4798 0.4798 0.6032

## Properties
Formation enthalpy at 0 K   2.908 eV/f.u.
E_tot   -26.316 eV per cell
Relative energy among the computed polymorphs   18.7 kJ per mole of atoms


# 4
Here is crystalline TbPm6Sm3Th2 at its relaxed geometry from Alexandria via LeMat-Bulk. Energies are from PBE.

Lattice parameters (Å, degrees): 6.2701 6.2701 12.0549 94.99 94.99 119.90
Fractional positions:
1 Tb 0.0000 0.0000 0.0000
2 Pm 0.9180 0.5810 0.7542
3 Pm 0.7449 0.7449 0.2461
4 Pm 0.0820 0.4190 0.2458
5 Pm 0.5810 0.9180 0.7542
6 Pm 0.2551 0.2551 0.7539
7 Pm 0.4190 0.0820 0.2458
8 Sm 0.1667 0.8333 0.5000
9 Sm 0.8333 0.1667 0.5000
10 Sm 0.5000 0.5000 0.5000
11 Th 0.3334 0.6666 0.0000
12 Th 0.6666 0.3334 0.0000

## Properties
Formation enthalpy at 0 K   0.387 eV/f.u.
E_tot   -61.744 eV per cell


# 5
Here is crystalline KTa2Os at its relaxed geometry from Alexandria via LeMat-Bulk. Energies are from PBE.

Lattice parameters (Å, degrees): 3.9594 2.9594 8.7049 76.73 90.00 90.00
Fractional positions:
1 K 0.5000 0.2500 0.2500
2 Os 0.5000 0.7500 0.7500
3 Ta 0.0000 0.0660 0.8962
4 Ta 0.0000 0.4340 0.6038

## Properties
Formation enthalpy at 0 K   2.412 eV/f.u.
E_tot   -33.620 eV per cell
Relative energy among the computed polymorphs   2.3 kJ per mole of atoms


# 6
Here is crystalline ZnReAs at its relaxed geometry from Alexandria via LeMat-Bulk. Energies are from PBE.

Lattice parameters (Å, degrees): 4.5652 4.5652 2.6086 90.00 90.00 120.00
Fractional positions:
1 As 0.0000 0.0000 0.1660
2 Re 0.6667 0.3333 0.1664
3 Zn 0.3333 0.6667 0.6676

## Properties
Formation enthalpy at 0 K   1.223 eV/f.u.
E_tot   -17.148 eV per cell
Relative energy among the computed polymorphs   28.5 kJ per mole of atoms


# 7
Here is crystalline CsSi2Te2 at its relaxed geometry from Alexandria via LeMat-Bulk. Energies are from PBE.

Lattice parameters (Å, degrees): 5.3578 5.3578 6.8788 67.08 67.08 90.00
Fractional positions:
1 Cs 0.0000 0.0000 0.0000
2 Si 0.3399 0.3399 0.3201
3 Si 0.6601 0.6601 0.6799
4 Te 0.7500 0.2500 0.5000
5 Te 0.2500 0.7500 0.5000

## Properties
E_form (uncorrected)   0.0 kJ per mole of atoms
E_tot   -17.982 eV per cell
Relative energy among the computed polymorphs   0.0 kJ per mole of atoms


# 8
Here is crystalline SrTaRe4 at its relaxed geometry from Alexandria via LeMat-Bulk. Energies are from PBE.

Lattice parameters (Å, degrees): 5.3581 5.3581 5.3581 60.00 60.00 60.00
Fractional positions:
1 Sr 0.7500 0.7500 0.7500
2 Ta 0.0000 0.0000 0.0000
3 Re 0.8767 0.3744 0.3744
4 Re 0.3744 0.3744 0.8767
5 Re 0.3744 0.8767 0.3744
6 Re 0.3744 0.3744 0.3744

## Properties
Formation enthalpy at 0 K   2.353 eV/f.u.
E_tot   -60.974 eV per cell


# 9
Here is crystalline K4Np3AuSe8 at its relaxed geometry from Alexandria via LeMat-Bulk. Energies are from PBE.

Lattice parameters (Å, degrees): 8.3501 9.0830 8.4942 118.02 119.44 90.00
Site moments in Bohr magnetons follow the coordinates.
Fractional positions:
1 K 0.5000 0.0000 0.0000  -0.01
2 K 0.5000 0.0000 0.5000  0.00
3 K 0.0000 0.0000 0.0000  0.00
4 K 0.0000 0.0000 0.5000  0.00
5 Np 0.5000 0.5000 0.0000  3.66
6 Np 0.5000 0.5000 0.5000  3.63
7 Np 0.0000 0.5000 0.5000  3.63
8 Au 0.0000 0.5000 0.0000  -0.10
9 Se 0.2316 0.6993 0.9621  -0.11
10 Se 0.2473 0.7094 0.4945  -0.12
11 Se 0.2660 0.2938 0.5319  -0.09
12 Se 0.7305 0.6993 0.9621  -0.11
13 Se 0.2695 0.3007 0.0379  -0.11
14 Se 0.7340 0.7062 0.4681  -0.09
15 Se 0.7527 0.2906 0.5055  -0.12
16 Se 0.7684 0.3007 0.0379  -0.11

## Properties
E_form (uncorrected)   -103.1 kJ per mole of atoms
E_tot   -91.462 eV per cell


# 10
Here is crystalline CuRe2Si at its relaxed geometry from Alexandria via LeMat-Bulk. Energies are from PBE.

Lattice parameters (Å, degrees): 2.9306 4.2596 4.2596 90.00 90.00 90.00
Fractional positions:
1 Cu 0.5000 0.0000 0.5000
2 Re 0.0000 0.0000 0.0000
3 Re 0.0000 0.5000 0.5000
4 Si 0.5000 0.5000 0.0000

## Properties
E_form (uncorrected)   13.8 kJ per mole of atoms
E_tot   -33.841 eV per cell


# 11
Here is crystalline La2Tl2V at its relaxed geometry from Alexandria via LeMat-Bulk. Energies are from PBE.

Lattice parameters (Å, degrees): 7.8992 7.8992 4.7766 90.00 90.00 90.00
Site moments in Bohr magnetons follow the coordinates.
Fractional positions:
1 Tl 0.3587 0.8587 0.0000  -0.01
2 Tl 0.8587 0.6413 0.0000  -0.01
3 Tl 0.6413 0.1413 0.0000  -0.01
4 Tl 0.1413 0.3587 0.0000  -0.01
5 La 0.1650 0.6650 0.5000  0.05
6 La 0.6650 0.8350 0.5000  0.05
7 La 0.8350 0.3350 0.5000  0.05
8 La 0.3350 0.1650 0.5000  0.05
9 V 0.0000 0.0000 0.0000  2.74
10 V 0.5000 0.5000 0.0000  2.74

## Properties
Formation enthalpy at 0 K   0.084 eV/f.u.
E_tot   -47.245 eV per cell


# 12
Here is crystalline TbTm2Ti at its relaxed geometry from Alexandria via LeMat-Bulk. Energies are from PBE.

Lattice parameters (Å, degrees): 3.3301 3.3301 11.7631 81.86 81.86 60.00
Site moments in Bohr magnetons follow the coordinates.
Fractional positions:
1 Tm 0.0838 0.0838 0.7486  0.13
2 Tm 0.9162 0.9162 0.2514  0.13
3 Tb 0.5000 0.5000 0.5000  -0.03
4 Ti 0.0000 0.0000 0.0000  1.32

## Properties
Formation enthalpy at 0 K   1.639 eV/f.u.
E_tot   -19.830 eV per cell
Relative energy among the computed polymorphs   25.2 kJ per mole of atoms


Number 1: M_tot 0.00 μB/atom. Number 2: M_tot 0.00 μB/atom. Number 3: M_tot 0.00 μB/atom. Number 4: M_tot 0.00 μB/atom. Number 5: M_tot 0.00 μB/atom. Number 6: M_tot 0.00 μB/atom. Number 7: M_tot 0.00 μB/atom. Number 8: M_tot 0.00 μB/atom. Number 9: M_tot 0.62 μB/atom. Number 10: M_tot 0.00 μB/atom. Number 11: M_tot 0.75 μB/atom. Number 12: M_tot 0.48 μB/atom.